Here is Li2TlSb2 after structural relaxation from Alexandria via LeMat-Bulk. Energies are from GGA-PBEsol. Values from VASP.

Structure (Quantum ESPRESSO input):
```
&SYSTEM
  ibrav = 0, nat = 5, ntyp = 3
/
ATOMIC_SPECIES
Sb 121.76 Sb.upf
Tl 204.38 Tl.upf
Li 6.94 Li.upf
CELL_PARAMETERS angstrom
-2.3525 -1.6293 3.7513
-0.4281 -4.2057 -2.0951
6.2965 1.2469 1.5231
ATOMIC_POSITIONS angstrom
Sb 3.7372 -1.2725 1.7909
Sb -0.2212 -3.3156 1.3884
Tl 0.0000 0.0000 0.0000
Li 2.2391 -2.9382 0.1280
Li 1.2769 -1.6499 3.0512
```

Summary:
For the total energy, the calculation gives -3.39 eV/atom. The value obtained for the density of states at the Fermi level is 1.6 states/eV per cell. The value obtained for the uncorrected formation energy is -250 meV per atom. The calculation puts the relative energy among the computed polymorphs at 0.055 eV/atom.



Here is BaZnW after structural relaxation from Alexandria via LeMat-Bulk. Energies are from GGA-PBEsol. Values from VASP.

Structure (Quantum ESPRESSO input):
```
&SYSTEM
  ibrav = 0, nat = 3, ntyp = 3
/
ATOMIC_SPECIES
Ba 137.33 Ba.upf
W 183.84 W.upf
Zn 65.41 Zn.upf
CELL_PARAMETERS angstrom
3.0252 0.0000 0.0000
0.0000 3.8346 0.0000
-1.5126 -1.9173 5.9289
ATOMIC_POSITIONS angstrom
Ba 0.0000 0.0000 0.0093
W 1.5126 1.9173 2.4969
Zn 0.0000 0.0000 3.4226
```

Summary:
For the total energy, the calculation gives -4.96 eV/atom. For the formation energy, the calculation gives 885 meV/atom. The value obtained for the density of states at the Fermi level is 2.9 states/eV per cell. The calculation puts the relative energy among the computed polymorphs at 0.000 eV/atom.